1.
Below is an optimized crystal structure of K5Zn4Sn5H4S17N, with properties calculated at the PBEsol level.

Cell: 9.3651 10.8315 10.8315 Å, 79.23 64.39 64.39°
Fractional positions:
Zn1 0.3596 0.1382 0.8618
S1 0.9018 0.6415 0.3585
Sn1 0.4961 0.7762 0.7762
S2 0.2292 0.2825 0.2825
H1 0.3759 0.4394 0.4394
H2 0.1846 0.4394 0.5606
S3 0.0778 0.2789 0.9931
Zn2 0.3596 0.8618 0.1382
S4 0.4883 0.2825 0.7175
K1 0.0000 0.0000 0.0000
H3 0.2548 0.5606 0.5606
Sn2 0.0485 0.2238 0.2238
Sn3 0.7500 0.5000 0.5000
S5 0.7397 0.3585 0.3585
S6 0.4567 0.6415 0.6415
S7 0.3498 0.7211 0.0069
S8 0.6433 0.2789 0.0069
S9 0.3498 0.0069 0.7211
K2 0.2634 0.0000 0.4731
S10 0.6433 0.0069 0.2789
Sn4 0.7277 0.7762 0.2238
Sn5 0.7277 0.2238 0.7762
S11 0.9292 0.7211 0.9931
K3 0.7366 0.5269 0.0000
Zn3 0.7787 0.8618 0.8618
K4 0.2634 0.4731 0.0000
H4 0.1846 0.5606 0.4394
S12 0.0778 0.9931 0.2789
S13 0.5000 0.0000 0.0000
S14 0.9018 0.3585 0.6415
K5 0.7366 0.0000 0.5269
N1 0.2500 0.5000 0.5000
S15 0.4883 0.7175 0.2825
S16 0.7942 0.7175 0.7175
S17 0.9292 0.9931 0.7211
Zn4 0.5022 0.1382 0.1382

V	893	Å³/cell
symmetry	I-4m2 (119)
uncorrected energy	-4.3100	eV/atom
total magnetization	0.0	Bohr magnetons per cell

***

2.
Below is an optimized crystal structure of Ba3CaAu, with properties calculated at the PBEsol level.

Cell: 6.3366 6.3366 6.3366 Å, 90.00 90.00 90.00°
Fractional positions:
Au1 0.0000 0.0000 0.0000
Ba1 0.0000 0.5000 0.0000
Ba2 0.0000 0.0000 0.5000
Ca1 0.5000 0.5000 0.5000
Ba3 0.5000 0.0000 0.0000

offset from the most stable computed form	0	kJ/mol of formula units
V	254	Å³/cell
symmetry	Pm-3m (221)
ΔE_f	-230	meV per atom
uncorrected energy	-2.7312	eV/atom
density of states at the Fermi level	3.0	states/eV/cell
total magnetization	0.0	Bohr magnetons per cell

***

Which of these has the lowest V?
Ba3CaAu